A relaxed Al2RePt crystal, computed with PBE-GGA.

Cell lengths 3.250, 3.250, 5.644 Å; angles 90.00, 90.00, 90.00 degrees
Fractional coordinates of all 4 atoms:
Re1 0.500 0.500 0.780
Al1 0.000 0.000 0.990
Al2 0.500 0.500 0.261
Pt1 0.000 0.000 0.469

Results
Energy relative to the lowest polymorph listed for this composition: 1.14 eV/f.u.
Size of the total moment: 0.0 μB/f.u.


A relaxed Tb8Er6Zr crystal, computed with PBE-GGA.

Cell lengths 5.761, 9.727, 9.727 Å; angles 120.00, 90.00, 90.00 degrees
Fractional coordinates of all 15 atoms:
Tb1 0.764 0.051 0.271
Tb2 0.764 0.729 0.781
Tb3 0.764 0.219 0.949
Tb4 0.236 0.949 0.729
Tb5 0.236 0.271 0.219
Tb6 0.236 0.781 0.051
Tb7 0.764 0.333 0.667
Tb8 0.236 0.667 0.333
Er1 0.748 0.620 0.093
Er2 0.748 0.907 0.527
Er3 0.748 0.473 0.380
Er4 0.252 0.380 0.907
Er5 0.252 0.093 0.473
Er6 0.252 0.527 0.620
Zr1 0.500 0.000 0.000

Results
Electronic total energy: -0.346 Ry per atom
Size of the total moment: 0.0 μB/f.u.


A relaxed K4Ho3ErSe8 crystal, computed with PBE-GGA.

Cell lengths 8.384, 9.079, 8.385 Å; angles 117.53, 120.00, 90.00 degrees
Fractional coordinates of all 16 atoms:
K1 0.500 0.000 0.000
K2 0.500 0.000 0.500
K3 0.000 0.000 0.000
K4 0.000 0.000 0.500
Ho1 0.500 0.500 0.000
Ho2 0.500 0.500 0.500
Ho3 0.000 0.500 0.500
Er1 0.000 0.500 0.000
Se1 0.234 0.704 0.970
Se2 0.234 0.704 0.469
Se3 0.265 0.296 0.530
Se4 0.736 0.704 0.970
Se5 0.264 0.296 0.030
Se6 0.735 0.704 0.470
Se7 0.766 0.296 0.531
Se8 0.766 0.296 0.030

Results
Electronic total energy: -0.362 Ry per atom
Size of the total moment: 0.0 μB/f.u.


A relaxed CsBeB2 crystal, computed with PBE-GGA.

Cell lengths 5.718, 5.718, 6.190 Å; angles 62.49, 62.49, 90.00 degrees
Fractional coordinates of all 8 atoms:
Cs1 0.000 0.000 0.000
Cs2 0.750 0.250 0.500
Be1 0.500 0.500 0.000
Be2 0.250 0.750 0.500
B1 0.375 0.125 0.250
B2 0.375 0.625 0.250
B3 0.375 0.625 0.750
B4 0.875 0.625 0.750

Results
Electronic total energy: -0.241 Ry per atom
Size of the total moment: 0.0 μB/f.u.


A relaxed DyErScGa crystal, computed with PBE-GGA.

Cell lengths 5.183, 5.183, 5.183 Å; angles 60.00, 60.00, 60.00 degrees
Each line ends with the local moment (μB).
Fractional coordinates of all 4 atoms:
Sc1 0.750 0.750 0.750  0.27
Dy1 0.000 0.000 0.000  0.14
Ga1 0.250 0.250 0.250  0.00
Er1 0.500 0.500 0.500  0.16

Results
Electronic total energy: -0.351 Ry per atom
Size of the total moment: 0.7 μB/f.u.


A relaxed NiHg2Br crystal, computed with PBE-GGA.

Cell lengths 5.294, 5.294, 3.674 Å; angles 89.95, 89.95, 117.91 degrees
Each line ends with the local moment (μB).
Fractional coordinates of all 4 atoms:
Br1 0.000 0.500 0.500  0.03
Hg1 0.000 0.000 0.000  0.02
Hg2 0.500 0.500 0.000  0.02
Ni1 0.500 0.000 0.500  0.70

Results
Energy relative to the lowest polymorph listed for this composition: 1.23 eV/f.u.
Size of the total moment: 0.8 μB/f.u.


Which formula does entry 3 have?
K4Ho3ErSe8


Copy entry 2 word for word.
A relaxed Tb8Er6Zr crystal, computed with PBE-GGA.

Cell lengths 5.761, 9.727, 9.727 Å; angles 120.00, 90.00, 90.00 degrees
Fractional coordinates of all 15 atoms:
Tb1 0.764 0.051 0.271
Tb2 0.764 0.729 0.781
Tb3 0.764 0.219 0.949
Tb4 0.236 0.949 0.729
Tb5 0.236 0.271 0.219
Tb6 0.236 0.781 0.051
Tb7 0.764 0.333 0.667
Tb8 0.236 0.667 0.333
Er1 0.748 0.620 0.093
Er2 0.748 0.907 0.527
Er3 0.748 0.473 0.380
Er4 0.252 0.380 0.907
Er5 0.252 0.093 0.473
Er6 0.252 0.527 0.620
Zr1 0.500 0.000 0.000

Results
Electronic total energy: -0.346 Ry per atom
Size of the total moment: 0.0 μB/f.u.


Among the records above, which one has the highest size of the total moment?
NiHg2Br


Look up the size of the total moment of the third one.
0.0 μB/f.u.